Compound: Li2CuHg
Source: Alexandria via LeMat-Bulk
Functional: PBEsol
Structure: optimized geometry

```
Li2CuHg
1.0
-2.7982 0.5180 2.7361
1.7078 -2.7446 2.2660
2.6453 3.7769 -0.8576
Cu Li Hg
1 2 1
direct
0.0000 0.0000 0.0000 Cu
0.5000 0.5000 0.0000 Li
0.7500 0.2500 0.5000 Li
0.2500 0.7500 0.5000 Hg
```

Computed properties:
The electronic total energy comes out at -2.42 eV/atom. As for the spin magnetization: 0.0 μB/f.u. Its energy of formation from the pure elements is -0.21 eV/atom. The calculated density is 7.9 Mg/m³.


Compound: LiCuHg2
Source: Alexandria via LeMat-Bulk
Functional: PBEsol
Structure: optimized geometry

```
LiCuHg2
1.0
-2.2627 1.5947 1.6365
-2.1573 -0.7110 -2.2901
-1.5092 -5.2839 3.0622
Hg Li Cu
2 1 1
direct
0.0000 0.0000 0.2516 Hg
0.0000 0.0000 0.7484 Hg
0.5000 0.5000 0.0000 Li
0.5000 0.5000 0.5000 Cu
```

Computed properties:
The electronic total energy comes out at -2.02 eV/atom. As for the spin magnetization: 0.0 μB/f.u. Its energy of formation from the pure elements is -0.16 eV/atom. The calculated density is 12.0 Mg/m³.


Compound: Li2CuHg
Source: Alexandria via LeMat-Bulk
Functional: PBEsol
Structure: optimized geometry

```
Li2CuHg
1.0
3.1301 0.0000 0.0000
0.0000 3.2784 0.0000
0.0000 0.0000 5.6960
Hg Li Cu
1 2 1
direct
0.5000 0.5000 0.5000 Hg
0.0000 0.0000 0.2307 Li
0.0000 0.0000 0.7693 Li
0.5000 0.5000 0.0000 Cu
```

Computed properties:
The electronic total energy comes out at -2.36 eV/atom. As for the spin magnetization: 0.0 μB/f.u. Its energy of formation from the pure elements is -0.15 eV/atom. The calculated density is 7.9 Mg/m³.


Compound: Li3CuHg
Source: Alexandria via LeMat-Bulk
Functional: PBEsol
Structure: optimized geometry

```
Li3CuHg
1.0
-0.1940 0.6438 4.4929
1.1796 -4.3353 0.6721
4.3828 1.1953 0.0180
Cu Li Hg
1 3 1
direct
0.0000 0.0000 0.0000 Cu
0.0000 0.0000 0.5000 Li
0.0000 0.5000 0.0000 Li
0.5000 0.0000 0.0000 Li
0.5000 0.5000 0.5000 Hg
```

Computed properties:
The electronic total energy comes out at -2.01 eV/atom. The value obtained for the offset from the most stable computed form is 0.00 eV/f.u. As for the spin magnetization: 0.0 μB/f.u. Its energy of formation from the pure elements is 0.15 eV/atom. The calculated density is 5.0 Mg/m³.


Compound: LiCuHg2
Source: Alexandria via LeMat-Bulk
Functional: PBEsol
Structure: optimized geometry

```
LiCuHg2
1.0
3.0703 0.0000 0.0000
1.5351 2.6589 0.0000
1.5351 0.8863 8.6378
Hg Cu Li
2 1 1
direct
0.7478 0.7478 0.7565 Hg
0.2522 0.2522 0.2435 Hg
0.0000 0.0000 0.0000 Cu
0.5000 0.5000 0.5000 Li
```

Computed properties:
The electronic total energy comes out at -1.89 eV/atom. As for the spin magnetization: 0.0 μB/f.u. Its energy of formation from the pure elements is -0.03 eV/atom. The calculated density is 11.1 Mg/m³.


Compound: LiCuHg
Source: Alexandria via LeMat-Bulk
Functional: PBEsol
Structure: optimized geometry

```
LiCuHg
1.0
4.2527 0.0000 0.0000
2.1264 3.6830 0.0000
2.1264 1.2277 3.4723
Hg Li Cu
1 1 1
direct
0.0000 0.0000 0.0000 Hg
0.5000 0.5000 0.5000 Li
0.2500 0.2500 0.2500 Cu
```

Computed properties:
The electronic total energy comes out at -2.26 eV/atom. The value obtained for the offset from the most stable computed form is 0.00 eV/f.u. As for the spin magnetization: 0.0 μB/f.u. Its energy of formation from the pure elements is 0.03 eV/atom. The calculated density is 8.3 Mg/m³.


Compound: LiCu3Hg
Source: Alexandria via LeMat-Bulk
Functional: PBEsol
Structure: optimized geometry

```
LiCu3Hg
1.0
4.8110 0.0000 0.0000
0.0000 4.8110 0.0000
0.0000 0.0000 4.8110
Hg Cu Li
1 3 1
direct
0.0000 0.0000 0.0000 Hg
0.0000 0.0000 0.5000 Cu
0.5000 0.0000 0.0000 Cu
0.0000 0.5000 0.0000 Cu
0.5000 0.5000 0.5000 Li
```

Computed properties:
The electronic total energy comes out at -2.36 eV/atom. As for the spin magnetization: 0.0 μB/f.u. Its energy of formation from the pure elements is 0.75 eV/atom. The calculated density is 5.9 Mg/m³.


Compound: Li2CuHg
Source: Alexandria via LeMat-Bulk
Functional: PBEsol
Structure: optimized geometry

```
Li2CuHg
1.0
-2.3403 2.0146 -2.3916
1.3809 -1.9979 -3.0343
-2.7858 -2.6675 0.4789
Hg Li Cu
1 2 1
direct
0.5000 0.5000 0.5000 Hg
0.0000 0.5000 0.0000 Li
0.0000 0.0000 0.5000 Li
0.5000 0.0000 0.0000 Cu
```

Computed properties:
The electronic total energy comes out at -2.39 eV/atom. As for the spin magnetization: 0.0 μB/f.u. Its energy of formation from the pure elements is -0.18 eV/atom. The calculated density is 7.8 Mg/m³.


Compound: Li2CuHg
Source: Alexandria via LeMat-Bulk
Functional: PBEsol
Structure: optimized geometry

```
Li2CuHg
1.0
3.9743 0.0000 0.0000
0.0000 3.9743 0.0000
-1.9871 -1.9871 3.7053
Li Cu Hg
2 1 1
direct
0.2500 0.7500 0.5000 Li
0.7500 0.2500 0.5000 Li
0.0000 0.0000 0.0000 Cu
0.5000 0.5000 0.0000 Hg
```

Computed properties:
The electronic total energy comes out at -2.39 eV/atom. As for the spin magnetization: 0.0 μB/f.u. Its energy of formation from the pure elements is -0.18 eV/atom. The calculated density is 7.9 Mg/m³.


Compound: Li2CuHg
Source: Alexandria via LeMat-Bulk
Functional: PBEsol
Structure: optimized geometry

```
Li2CuHg
1.0
-3.4612 -0.2416 2.6658
0.5535 -1.0317 4.2159
-0.5961 3.0378 3.0921
Cu Li Hg
1 2 1
direct
0.5000 0.5000 0.5000 Cu
0.0000 0.0000 0.0000 Li
0.7500 0.7500 0.7500 Li
0.2500 0.2500 0.2500 Hg
```

Computed properties:
The electronic total energy comes out at -2.42 eV/atom. As for the spin magnetization: 0.0 μB/f.u. Its energy of formation from the pure elements is -0.21 eV/atom. The calculated density is 7.8 Mg/m³.


Compound: LiCuHg2W
Source: Alexandria via LeMat-Bulk
Functional: PBEsol
Structure: optimized geometry

```
LiCuHg2W
1.0
4.6551 0.0000 0.0000
0.0000 4.8333 0.0000
0.0000 0.0000 4.8333
Li Hg Cu W
1 2 1 1
direct
0.5000 0.5000 0.5000 Li
0.0000 0.5000 0.0000 Hg
0.0000 0.0000 0.5000 Hg
0.0000 0.0000 0.0000 Cu
0.5000 0.0000 0.0000 W
```

Computed properties:
The electronic total energy comes out at -3.16 eV/atom. As for the spin magnetization: 2.0 μB/f.u. Its energy of formation from the pure elements is 1.09 eV/atom. The calculated density is 10.0 Mg/m³.


Compound: Mg2CuHg
Source: Alexandria via LeMat-Bulk
Functional: PBEsol
Structure: optimized geometry

```
Mg2CuHg
1.0
-0.5421 -2.1027 2.2664
-2.3658 -2.4047 -2.7969
4.6253 -1.5649 -2.5670
Hg Mg Cu
1 2 1
direct
0.4452 0.5000 0.7636 Hg
0.7138 0.5000 0.3067 Mg
0.0418 0.0000 0.9554 Mg
0.2992 0.0000 0.4744 Cu
```

Computed properties:
The electronic total energy comes out at -2.22 eV/atom. As for the spin magnetization: 0.0 μB/f.u. Its energy of formation from the pure elements is -0.13 eV/atom. The calculated density is 7.2 Mg/m³.


Compound: MgCu2Hg
Source: Alexandria via LeMat-Bulk
Functional: PBEsol
Structure: optimized geometry

```
MgCu2Hg
1.0
3.6398 0.0000 0.0000
0.0000 4.0842 0.0000
-1.8199 -2.0421 4.0565
Cu Mg Hg
2 1 1
direct
0.7380 0.7380 0.4761 Cu
0.0162 0.5162 0.0325 Cu
0.2548 0.2548 0.5096 Mg
0.4909 0.9909 0.9819 Hg
```

Computed properties:
The electronic total energy comes out at -2.78 eV/atom. As for the spin magnetization: 0.0 μB/f.u. Its energy of formation from the pure elements is -0.05 eV/atom. The calculated density is 9.7 Mg/m³.


Compound: MgCu4Hg
Source: Alexandria via LeMat-Bulk
Functional: PBEsol
Structure: optimized geometry

```
MgCu4Hg
1.0
-2.3700 3.7195 2.1345
-4.7064 0.8429 -1.0708
-3.4714 -0.9005 3.3386
Cu Hg Mg
4 1 1
direct
0.3747 0.3747 0.3747 Cu
0.3747 0.3747 0.8759 Cu
0.8759 0.3747 0.3747 Cu
0.3747 0.8759 0.3747 Cu
0.7500 0.7500 0.7500 Hg
0.0000 0.0000 0.0000 Mg
```

Computed properties:
The electronic total energy comes out at -3.35 eV/atom. As for the spin magnetization: 0.0 μB/f.u. Its energy of formation from the pure elements is -0.08 eV/atom. The calculated density is 9.6 Mg/m³.


Compound: MgCu2Hg
Source: Alexandria via LeMat-Bulk
Functional: PBEsol
Structure: optimized geometry

```
MgCu2Hg
1.0
4.1389 0.0000 0.0000
0.0000 4.1389 0.0000
-2.0695 -2.0695 3.5043
Cu Hg Mg
2 1 1
direct
0.2500 0.7500 0.5000 Cu
0.7500 0.2500 0.5000 Cu
0.5000 0.5000 0.0000 Hg
0.0000 0.0000 0.0000 Mg
```

Computed properties:
The electronic total energy comes out at -2.79 eV/atom. As for the spin magnetization: 0.0 μB/f.u. Its energy of formation from the pure elements is -0.05 eV/atom. The calculated density is 9.7 Mg/m³.